## Cr3BSe (PBE)

Data for Cr3BSe after structural relaxation.

Geometry as POSCAR:
```
Cr3BSe
1.0
4.282 0.000 0.000
0.000 4.282 0.000
0.000 0.000 4.282
Cr B Se
3 1 1
Direct
0.000 0.000 0.500
0.000 0.500 0.000
0.500 0.000 0.000
0.500 0.500 0.500
0.000 0.000 0.000
```

Results
Theoretical density = 5.20 g/cm3
Distance to the lowest polymorph of the same formula = 6.96 eV per formula unit
DOS(E_F) = 1.48 states/eV/atom
Space-group type = Pm-3m, No. 221
Raw formation energy = 1781.0 meV/atom
Magnetization = 0.01 μB/f.u.